Density functional theory data (PBE with a Hubbard U) for a geometry-optimized TlGaMoF6 structure.

Computed properties:
Energy   -4.7942 eV/atom
Symmetry   P-31c, No. 163
V   328.40 Å³/cell

Unit cell a=5.6715 b=5.6715 c=11.7889 alpha=90.00 beta=90.00 gamma=120.00
Closest atoms and distances in Å follow each position.
Fractional positions:
F 0.6463 0.0386 0.3408  1 Ga 1.94
F 0.0386 0.3923 0.6592  1 Ga 1.94
F 0.0386 0.6463 0.8408  1 Ga 1.94
F 0.3923 0.3537 0.3408  1 Ga 1.94
F 0.6463 0.6077 0.1592  1 Ga 1.94
F 0.6077 0.9614 0.8408  1 Ga 1.94
F 0.3923 0.0386 0.1592  1 Ga 1.94
F 0.3537 0.9614 0.6592  1 Ga 1.94
F 0.9614 0.6077 0.3408  1 Ga 1.94
F 0.3537 0.3923 0.8408  1 Ga 1.94
F 0.9614 0.3537 0.1592  1 Ga 1.94
F 0.6077 0.6463 0.6592  1 Ga 1.94
Tl 0.0000 0.0000 0.5000  6 F 2.83
Tl 0.0000 0.0000 0.0000  6 F 2.83
Mo 0.3333 0.6667 0.2500  6 F 2.24
Mo 0.6667 0.3333 0.7500  6 F 2.24
Ga 0.3333 0.6667 0.7500  6 F 1.94
Ga 0.6667 0.3333 0.2500  6 F 1.94